Entry 1:
6
Lattice="1.997 1.153 6.394 -1.997 1.153 6.394 0.000 -2.306 6.394" Properties=species:S:1:pos:R:3 comment="AcNpO4, relaxed, DFT PBE" vol_a3_per_fu=88.3 raw_formation_energy_ev_per_atom=-3.187 final_energy_ev_per_atom=-9.33 spacegroup="R-3m, No. 166" total_magnetization_mub_per_fu=2.00 pbc="T T T"
Ac 0.000 0.000 0.000
Np 0.000 0.000 9.591
O 0.000 0.000 2.622
O 0.000 0.000 7.456
O 0.000 0.000 11.726
O 0.000 0.000 16.560


Entry 2:
8
Lattice="-3.104 3.104 4.328 3.104 -3.104 4.328 3.104 3.104 -4.328" Properties=species:S:1:pos:R:3 comment="Mg2HgN, relaxed, DFT PBE" vol_a3_per_fu=83.4 raw_formation_energy_ev_per_atom=-0.291 final_energy_ev_per_atom=-3.25 spacegroup="I-42d, No. 122" total_magnetization_mub_per_fu=0.00 pbc="T T T"
Mg 0.608 1.552 1.082
Mg -1.552 2.496 3.246
Mg -0.608 4.656 1.082
Mg 1.552 3.711 3.246
Hg 3.104 0.000 2.164
Hg 0.000 0.000 4.328
N 0.000 0.000 0.000
N 0.000 3.104 2.164


Entry 3:
8
Lattice="0.000 4.799 8.455 4.562 0.000 8.455 4.562 4.799 0.000" Properties=species:S:1:pos:R:3 comment="SbTe, relaxed, DFT PBE" vol_a3_per_fu=92.5 raw_formation_energy_ev_per_atom=0.215 final_energy_ev_per_atom=-3.42 spacegroup="Fddd, No. 70" total_magnetization_mub_per_fu=0.00 pbc="T T T"
Sb 5.702 5.999 16.905
Sb 3.421 3.599 0.005
Sb 5.702 5.999 4.233
Sb 3.421 3.599 12.678
Te 5.886 3.599 6.341
Te 8.166 5.999 10.569
Te 0.957 3.599 6.341
Te 3.237 5.999 10.569


Entry 4:
7
Lattice="-1.665 1.665 9.446 1.665 -1.665 9.446 1.665 1.665 -9.446" Properties=species:S:1:pos:R:3 comment="Ir4Os3, relaxed, DFT PBE" vol_a3_per_fu=104.7 e_form_mev_per_atom=495 final_energy_ev_per_atom=-9.38 spacegroup="I4/mmm, No. 139" total_magnetization_mub_per_fu=1.95 pbc="T T T"
Ir 0.000 0.000 1.355
Ir 0.000 0.000 6.743
Ir 0.000 0.000 12.150
Ir 0.000 0.000 17.537
Os 0.000 0.000 4.035
Os 0.000 0.000 9.446
Os 0.000 0.000 14.857


Entry 5:
6
Lattice="4.244 0.000 0.000 -2.122 3.676 0.000 0.000 0.000 4.799" Properties=species:S:1:pos:R:3 comment="Li2Os, relaxed, DFT PBE" vol_a3_per_fu=37.4 e_form_mev_per_atom=827 final_energy_ev_per_atom=-4.19 spacegroup="P6_3/mmc, No. 194" total_magnetization_mub_per_fu=0.00 pbc="T T T"
Li 0.000 0.000 0.000
Li 0.000 0.000 2.400
Li 0.000 2.450 1.200
Li 2.122 1.225 3.599
Os 0.000 2.450 3.599
Os 2.122 1.225 1.200


Entry 6:
5
Lattice="4.733 0.000 0.000 0.000 4.733 0.000 0.000 0.000 4.415" Properties=species:S:1:pos:R:3 comment="SrCoReRh2, relaxed, DFT PBE" vol_a3_per_fu=98.9 e_form_mev_per_atom=803 final_energy_ev_per_atom=-6.39 spacegroup="P4/mmm, No. 123" total_magnetization_mub_per_fu=3.89 pbc="T T T"
Sr 0.000 0.000 0.000
Co 2.366 2.366 2.208
Re 2.366 2.366 0.000
Rh 0.000 2.366 2.208
Rh 2.366 0.000 2.208


Entry 7:
5
Lattice="-1.674 1.674 6.788 1.674 -1.674 6.788 1.674 1.674 -6.788" Properties=species:S:1:pos:R:3 comment="Li2MgPt2, relaxed, DFT PBE" vol_a3_per_fu=76.1 e_form_mev_per_atom=-405 final_energy_ev_per_atom=-3.91 spacegroup="I4/mmm, No. 139" total_magnetization_mub_per_fu=0.00 pbc="T T T"
Li 1.674 0.000 3.394
Li 0.000 1.674 3.394
Mg 0.000 0.000 0.000
Pt 0.000 0.000 5.353
Pt 0.000 0.000 8.223


Entry 8:
4
Lattice="1.615 0.933 9.609 -1.615 0.933 9.609 0.000 -1.865 9.609" Properties=species:S:1:pos:R:3 comment="AlReSb2, relaxed, DFT PBE" vol_a3_per_fu=86.8 raw_formation_energy_ev_per_atom=0.416 final_energy_ev_per_atom=-5.69 spacegroup="R-3m, No. 166" total_magnetization_mub_per_fu=0.00 pbc="T T T"
Al 0.000 0.000 0.000
Re 0.000 0.000 14.414
Sb 0.000 0.000 6.843
Sb 0.000 0.000 21.986


Entry 9:
14
Lattice="7.879 -2.147 0.000 7.879 2.147 0.000 -5.316 0.000 7.650" Properties=species:S:1:pos:R:3 comment="Ho3Zn8Au3, relaxed, DFT PBE" vol_a3_per_fu=258.9 e_form_mev_per_atom=-467 final_energy_ev_per_atom=-2.88 spacegroup="C2/m, No. 12" total_magnetization_mub_per_fu=0.00 pbc="T T T"
Ho 0.000 0.000 0.000
Ho 3.078 0.000 2.318
Ho 7.365 0.000 5.332
Zn -0.072 0.000 3.163
Zn -2.350 0.000 6.485
Zn 1.614 0.000 5.255
Zn 4.191 0.000 5.262
Zn 6.252 0.000 2.388
Zn 8.829 0.000 2.395
Zn 12.793 0.000 1.165
Zn 10.515 0.000 4.487
Au -2.658 0.000 3.825
Au 0.229 0.000 7.456
Au 10.214 0.000 0.194


Entry 10:
4
Lattice="0.000 2.960 2.960 2.960 0.000 2.960 2.960 2.960 0.000" Properties=species:S:1:pos:R:3 comment="ZnPRu2, relaxed, DFT PBE" vol_a3_per_fu=51.9 e_form_mev_per_atom=-191 final_energy_ev_per_atom=-6.50 spacegroup="Fm-3m, No. 225" total_magnetization_mub_per_fu=0.00 pbc="T T T"
Zn 0.000 0.000 0.000
P 2.960 2.960 2.960
Ru 1.480 1.480 1.480
Ru 4.440 4.440 4.440


Entry 11:
6
Lattice="2.686 1.551 4.219 -2.686 1.551 4.219 0.000 -3.102 4.219" Properties=species:S:1:pos:R:3 comment="Na2CuPt3, relaxed, DFT PBE" vol_a3_per_fu=105.4 e_form_mev_per_atom=-304 final_energy_ev_per_atom=-4.45 spacegroup="R-3m, No. 166" total_magnetization_mub_per_fu=0.00 pbc="T T T"
Na 0.000 0.000 1.564
Na 0.000 0.000 11.091
Cu 0.000 0.000 6.328
Pt -1.343 -0.775 4.219
Pt -1.343 0.775 8.437
Pt 0.000 1.551 4.219


Entry 12:
5
Lattice="5.129 0.000 0.000 0.000 5.129 0.000 0.000 0.000 5.129" Properties=species:S:1:pos:R:3 comment="Tc3AuN, relaxed, DFT PBE" vol_a3_per_fu=135.0 raw_formation_energy_ev_per_atom=3.329 final_energy_ev_per_atom=-5.21 spacegroup="Pm-3m, No. 221" total_magnetization_mub_per_fu=10.14 pbc="T T T"
Tc 0.000 0.000 2.565
Tc 0.000 2.565 0.000
Tc 2.565 0.000 0.000
Au 0.000 0.000 0.000
N 2.565 2.565 2.565